VASP calculation (PBE) on a relaxed PmGe4Os crystal.

The space group is C2/c (No. 15) and the conventional cell measures 11.310, 6.405 and 6.790 Å, with angles of 90.00, 94.79 and 90.00 degrees. The distinct sites, in fractional coordinates, are Pm at (0.000, 0.092, 0.250), Ge at (0.050, 0.368, 0.912), Ge at (0.246, 0.115, 0.644) and Os at (0.250, 0.250, 0.000).

For the energy of formation from the pure elements, the calculation gives -0.2359 eV/atom.